# 1
DFT (PBE) results for a relaxed Dy5Te4Au crystal.

a b c (Å): 6.1431 7.5067 7.5067
angles (deg): 80.36 65.85 65.85
Fractional coordinates of all 10 atoms:
Dy1 0.7222 0.1806 0.3771
Dy2 0.5010 0.0000 0.0000
Dy3 0.2799 0.8194 0.6229
Dy4 0.0993 0.6229 0.1806
Dy5 0.9028 0.3771 0.8194
Te1 0.1940 0.2169 0.3971
Te2 0.4109 0.3971 0.7831
Te3 0.8080 0.7831 0.6029
Te4 0.5911 0.6029 0.2169
Au1 0.0010 0.0000 0.0000

## Properties
- formation energy without anion corrections (eV per atom) = -1.22
- E (eV per cell) = -51.06

=====

# 2
DFT (PBE) results for a relaxed DyTeAu crystal.

a b c (Å): 4.4985 4.5016 11.5333
angles (deg): 102.04 90.00 119.98
Fractional coordinates of all 6 atoms:
Te1 0.2879 0.5759 0.8403
Te2 0.7121 0.4241 0.1597
Dy1 0.9057 0.8114 0.7029
Dy2 0.0943 0.1886 0.2971
Au1 0.1878 0.3756 0.5596
Au2 0.8122 0.6244 0.4404

## Properties
- formation energy without anion corrections (eV per atom) = -0.90
- E (eV per cell) = -27.41

=====

# 3
DFT (PBE) results for a relaxed Dy2TeAu crystal.

a b c (Å): 4.1524 4.1524 7.9168
angles (deg): 74.80 74.80 60.00
Fractional coordinates of all 4 atoms:
Au1 0.6678 0.6678 0.9967
Dy1 0.2584 0.2584 0.2249
Dy2 0.0751 0.0751 0.7747
Te1 0.4988 0.4988 0.5037

## Properties
- formation energy without anion corrections (eV per atom) = -1.02
- E (eV per cell) = -19.70